1.
# Na3NiRh3Se8

A relaxed Na3NiRh3Se8 crystal (PBE-GGA, Alexandria via LeMat-Bulk).

Cell lengths 7.506, 7.507, 8.060 Å; angles 117.76, 90.00, 120.00 degrees
Sites, in units of the cell vectors:
Se1 0.270 0.541 0.311
Se2 0.737 0.959 0.682
Se3 0.223 0.959 0.682
Se4 0.223 0.445 0.682
Se5 0.777 0.041 0.318
Se6 0.777 0.555 0.318
Se7 0.730 0.459 0.689
Se8 0.263 0.041 0.318
Rh1 0.500 0.000 0.500
Rh2 0.500 0.500 0.500
Rh3 0.000 0.500 0.500
Ni1 0.000 0.000 0.500
Na1 0.000 0.000 0.000
Na2 0.000 0.500 0.000
Na3 0.500 0.500 0.000

Summary:
Spin magnetization = 0.0000 μB per atom
E_form (uncorrected) = -0.60 eV per atom
Symmetry = R-3m, No. 166
Final energy = -4.576 eV per atom
Crystal system = trigonal

***

2.
# Ce2Al6ZnCu

A relaxed Ce2Al6ZnCu crystal (PBE-GGA, Alexandria via LeMat-Bulk).

Cell lengths 6.330, 6.330, 12.131 Å; angles 74.88, 74.88, 60.00 degrees
Sites, in units of the cell vectors:
Cu1 0.000 0.000 0.000
Cu2 0.500 0.500 0.500
Al1 0.668 0.075 0.590
Al2 0.925 0.332 0.410
Al3 0.075 0.668 0.590
Al4 0.777 0.777 0.095
Al5 0.668 0.668 0.590
Al6 0.777 0.351 0.095
Al7 0.223 0.223 0.905
Al8 0.351 0.777 0.095
Al9 0.223 0.649 0.905
Al10 0.332 0.332 0.410
Al11 0.332 0.925 0.410
Al12 0.649 0.223 0.905
Ce1 0.280 0.280 0.161
Ce2 0.720 0.720 0.839
Ce3 0.894 0.894 0.318
Ce4 0.106 0.106 0.682
Zn1 0.426 0.426 0.723
Zn2 0.574 0.574 0.277

Summary:
Spin magnetization = 0.2141 μB per atom
Symmetry = R-3m, No. 166
Final energy = -4.156 eV per atom
Crystal system = trigonal

***

3.
# CsRb2Cl3

A relaxed CsRb2Cl3 crystal (PBE-GGA, Alexandria via LeMat-Bulk).

Cell lengths 4.822, 6.828, 8.358 Å; angles 114.11, 106.76, 90.00 degrees
Sites, in units of the cell vectors:
Rb1 0.834 0.834 0.167
Rb2 0.166 0.166 0.833
Cl1 0.175 0.675 0.850
Cl2 0.500 0.000 0.500
Cl3 0.825 0.325 0.150
Cs1 0.500 0.500 0.500

Summary:
Spin magnetization = 0.0162 μB per atom
Relative energy among the computed polymorphs = 0.00 eV/f.u.
E_form (uncorrected) = -1.95 eV per atom
Symmetry = Immm, No. 71
Final energy = -3.334 eV per atom
Crystal system = orthorhombic

***

4.
# BeRe3

A relaxed BeRe3 crystal (PBE-GGA, Alexandria via LeMat-Bulk).

Cell lengths 2.777, 2.777, 8.198 Å; angles 90.00, 90.00, 120.00 degrees
Sites, in units of the cell vectors:
Re1 0.000 0.000 0.500
Re2 0.667 0.333 0.232
Re3 0.667 0.333 0.768
Be1 0.000 0.000 0.000

Summary:
Spin magnetization = 0.0000 μB per atom
Relative energy among the computed polymorphs = 0.46 eV/f.u.
Symmetry = P-6m2, No. 187
Final energy = -10.216 eV per atom
Crystal system = hexagonal

***

5.
# FeAsAu2

A relaxed FeAsAu2 crystal (PBE-GGA, Alexandria via LeMat-Bulk).

Cell lengths 7.331, 7.331, 5.797 Å; angles 50.78, 50.78, 90.00 degrees
Sites, in units of the cell vectors:
As1 0.000 0.000 0.000
As2 0.750 0.250 0.500
Fe1 0.250 0.750 0.500
Fe2 0.500 0.500 0.000
Au1 0.128 0.625 0.250
Au2 0.375 0.378 0.750
Au3 0.875 0.872 0.750
Au4 0.622 0.125 0.250

Summary:
Spin magnetization = 0.0230 μB per atom
Symmetry = I-42d, No. 122
Final energy = -4.396 eV per atom
Crystal system = tetragonal

***

6.
# CsGa2HgPt

A relaxed CsGa2HgPt crystal (PBE-GGA, Alexandria via LeMat-Bulk).

Cell lengths 4.995, 4.995, 5.538 Å; angles 90.00, 90.00, 90.00 degrees
Sites, in units of the cell vectors:
Ga1 0.500 0.000 0.000
Ga2 0.000 0.500 0.000
Pt1 0.000 0.000 0.000
Hg1 0.000 0.000 0.500
Cs1 0.500 0.500 0.500

Summary:
Spin magnetization = 0.0000 μB per atom
Symmetry = P4/mmm, No. 123
Final energy = -2.900 eV per atom
Crystal system = tetragonal

***

7.
# HgAsPd

A relaxed HgAsPd crystal (PBE-GGA, Alexandria via LeMat-Bulk).

Cell lengths 4.321, 3.051, 12.859 Å; angles 90.00, 90.00, 135.08 degrees
Sites, in units of the cell vectors:
As1 0.947 0.894 0.871
As2 0.947 0.894 0.129
Pd1 0.448 0.895 0.000
Pd2 0.442 0.884 0.500
Hg1 0.942 0.883 0.347
Hg2 0.942 0.883 0.653

Summary:
Spin magnetization = 0.0000 μB per atom
Relative energy among the computed polymorphs = 0.16 eV/f.u.
Symmetry = Amm2, No. 38
Final energy = -3.448 eV per atom
Crystal system = orthorhombic

***

8.
# LiGaSi

A relaxed LiGaSi crystal (PBE-GGA, Alexandria via LeMat-Bulk).

Cell lengths 10.062, 10.062, 7.424 Å; angles 47.34, 47.34, 90.00 degrees
Sites, in units of the cell vectors:
Ga1 0.807 0.807 0.000
Ga2 0.193 0.807 0.000
Ga3 0.807 0.193 0.000
Ga4 0.193 0.193 0.000
Li1 0.500 0.720 0.000
Li2 0.280 0.500 0.000
Li3 0.500 0.280 0.000
Li4 0.720 0.500 0.000
Si1 0.000 0.381 0.000
Si2 0.619 0.000 0.000
Si3 0.381 0.000 0.000
Si4 0.000 0.619 0.000

Summary:
Spin magnetization = 0.0000 μB per atom
E_form (uncorrected) = 0.04 eV per atom
Symmetry = I4/mmm, No. 139
Final energy = -3.413 eV per atom
Crystal system = tetragonal

***

9.
# Tb5Pm5Pr

A relaxed Tb5Pm5Pr crystal (PBE-GGA, Alexandria via LeMat-Bulk).

Cell lengths 6.163, 6.163, 11.716 Å; angles 90.00, 90.00, 120.00 degrees
Sites, in units of the cell vectors:
Pm1 0.333 0.667 0.324
Pm2 0.667 0.333 0.842
Pm3 0.333 0.667 0.676
Pm4 0.000 0.000 0.000
Pm5 0.667 0.333 0.158
Tb1 0.833 0.665 0.500
Tb2 0.833 0.167 0.500
Tb3 0.335 0.167 0.500
Tb4 0.000 0.000 0.734
Tb5 0.000 0.000 0.266
Pr1 0.333 0.667 0.000

Summary:
Spin magnetization = 0.0000 μB per atom
Symmetry = P-6m2, No. 187
Final energy = -4.409 eV per atom
Crystal system = hexagonal

***

10.
# Al3InGe3

A relaxed Al3InGe3 crystal (PBE-GGA, Alexandria via LeMat-Bulk).

Cell lengths 7.128, 7.128, 7.128 Å; angles 90.00, 90.00, 90.00 degrees
Sites, in units of the cell vectors:
Al1 0.000 0.500 0.750
Al2 0.000 0.500 0.250
Al3 0.250 0.000 0.500
Al4 0.500 0.750 0.000
Al5 0.500 0.250 0.000
Al6 0.750 0.000 0.500
Ge1 0.500 0.000 0.250
Ge2 0.250 0.500 0.000
Ge3 0.000 0.750 0.500
Ge4 0.750 0.500 0.000
Ge5 0.500 0.000 0.750
Ge6 0.000 0.250 0.500
In1 0.000 0.000 0.000
In2 0.500 0.500 0.500

Summary:
Spin magnetization = 0.0000 μB per atom
Symmetry = Pm-3n, No. 223
Final energy = -3.714 eV per atom
Crystal system = cubic

***

11.
# CuAg2Br3

A relaxed CuAg2Br3 crystal (PBE-GGA, Alexandria via LeMat-Bulk).

Cell lengths 3.824, 4.465, 9.953 Å; angles 102.96, 101.08, 90.00 degrees
Sites, in units of the cell vectors:
Cu1 0.000 0.000 0.000
Br1 0.170 0.170 0.340
Br2 0.000 0.500 0.000
Br3 0.830 0.830 0.660
Ag1 0.680 0.680 0.360
Ag2 0.320 0.320 0.640

Summary:
Spin magnetization = 0.0000 μB per atom
Relative energy among the computed polymorphs = 0.87 eV/f.u.
E_form (uncorrected) = -0.14 eV per atom
Symmetry = Immm, No. 71
Final energy = -2.612 eV per atom
Crystal system = orthorhombic

***

12.
# LiAg2Pd

A relaxed LiAg2Pd crystal (PBE-GGA, Alexandria via LeMat-Bulk).

Cell lengths 3.135, 3.135, 6.516 Å; angles 90.00, 90.00, 90.00 degrees
Sites, in units of the cell vectors:
Pd1 0.500 0.500 0.000
Ag1 0.000 0.000 0.266
Ag2 0.000 0.000 0.734
Li1 0.500 0.500 0.500

Summary:
Spin magnetization = 0.0000 μB per atom
Relative energy among the computed polymorphs = 0.30 eV/f.u.
Symmetry = P4/mmm, No. 123
Final energy = -3.354 eV per atom
Crystal system = tetragonal